The following is a GGA-PBE calculation of a geometry-optimized Y2SiBr structure, from Alexandria via LeMat-Bulk.

```
Y2SiBr
1.0
2.078 1.200 7.091
-2.078 1.200 7.091
0.000 -2.399 7.091
Y Si Br
2 1 1
direct
0.235 0.235 0.235
0.765 0.765 0.765
0.500 0.500 0.500
0.000 0.000 0.000
```

Computed properties:
Magnetization: 0.0 Bohr magnetons per cell
Polymorph energy (0 for the lowest one): 0.0 kJ per mole of atoms

---

The following is a GGA-PBE calculation of a geometry-optimized CsNa2Cd2Bi2 structure, from Alexandria via LeMat-Bulk.

```
CsNa2Cd2Bi2
1.0
2.572 1.485 10.550
-2.572 1.485 10.550
0.000 -2.969 10.550
Cs Na Cd Bi
1 2 2 2
direct
0.000 0.000 0.000
0.142 0.142 0.142
0.858 0.858 0.858
0.449 0.449 0.449
0.551 0.551 0.551
0.246 0.246 0.246
0.754 0.754 0.754
```

Computed properties:
Formation energy from the elements: -28.9 kJ per mole of atoms
Magnetization: 0.0 Bohr magnetons per cell

---

The following is a GGA-PBE calculation of a geometry-optimized LaMg2 structure, from Alexandria via LeMat-Bulk.

```
LaMg2
1.0
2.499 -6.526 0.000
2.499 6.526 0.000
0.000 0.000 5.177
La Mg
2 4
direct
0.091 0.909 0.750
0.909 0.091 0.250
0.242 0.758 0.250
0.400 0.600 0.750
0.600 0.400 0.250
0.758 0.242 0.750
```

Computed properties:
Formation energy from the elements: -7.2 kJ per mole of atoms
Magnetization: 0.0 Bohr magnetons per cell

---

The following is a GGA-PBE calculation of a geometry-optimized Tl2PtBr2Cl4 structure, from Alexandria via LeMat-Bulk.

```
Tl2PtBr2Cl4
1.0
-3.591 3.591 5.116
3.591 -3.591 5.116
3.591 3.591 -5.116
Tl Pt Br Cl
2 1 2 4
direct
0.250 0.750 0.500
0.750 0.250 0.500
0.000 0.000 0.000
0.244 0.244 0.000
0.756 0.756 0.000
0.231 0.231 0.462
0.231 0.769 0.000
0.769 0.231 0.000
0.769 0.769 0.538
```

Computed properties:
DFT total energy: -3.097 eV/atom
Magnetization: 0.0 Bohr magnetons per cell

---

The following is a GGA-PBE calculation of a geometry-optimized CsSn3H structure, from Alexandria via LeMat-Bulk.

```
CsSn3H
1.0
5.152 0.000 0.000
0.000 5.152 0.000
0.000 0.000 5.152
Cs Sn H
1 3 1
direct
0.000 0.000 0.000
0.000 0.500 0.500
0.500 0.000 0.500
0.500 0.500 0.000
0.500 0.500 0.500
```

Computed properties:
Magnetization: 0.0 Bohr magnetons per cell
Polymorph energy (0 for the lowest one): 0.0 kJ per mole of atoms

---

The following is a GGA-PBE calculation of a geometry-optimized CdAg12Au2 structure, from Alexandria via LeMat-Bulk.

```
CdAg12Au2
1.0
5.415 0.000 0.000
0.000 5.415 0.000
0.000 0.000 20.710
Cd Ag Au
2 24 4
direct
0.250 0.750 0.000
0.750 0.250 0.000
0.000 0.000 0.107
0.000 0.000 0.893
0.000 0.500 0.107
0.000 0.500 0.893
0.071 0.571 0.438
0.071 0.929 0.562
0.250 0.250 0.210
0.250 0.250 0.339
0.250 0.250 0.661
0.250 0.250 0.790
0.429 0.571 0.562
0.429 0.929 0.438
0.500 0.000 0.107
0.500 0.000 0.893
0.500 0.500 0.107
0.500 0.500 0.893
0.571 0.071 0.562
0.571 0.429 0.438
0.750 0.750 0.210
0.750 0.750 0.339
0.750 0.750 0.661
0.750 0.750 0.790
0.929 0.071 0.438
0.929 0.429 0.562
0.250 0.750 0.275
0.250 0.750 0.725
0.750 0.250 0.275
0.750 0.250 0.725
```

Computed properties:
Formation energy from the elements: 18.6 kJ per mole of atoms
Magnetization: 0.0 Bohr magnetons per cell

---

The following is a GGA-PBE calculation of a geometry-optimized Ho5Pu3S8 structure, from Alexandria via LeMat-Bulk.

```
Ho5Pu3S8
1.0
3.900 2.252 6.413
-3.900 2.252 6.413
0.000 -4.504 6.413
Ho Pu S
5 3 8
direct
0.000 0.000 0.000
0.000 0.500 0.500
0.500 0.000 0.500
0.500 0.500 0.000
0.500 0.500 0.500
0.000 0.000 0.500
0.000 0.500 0.000
0.500 0.000 0.000
0.250 0.250 0.746
0.250 0.746 0.250
0.252 0.252 0.252
0.254 0.750 0.750
0.746 0.250 0.250
0.748 0.748 0.748
0.750 0.254 0.750
0.750 0.750 0.254
```

Computed properties:
DFT total energy: -8.108 eV/atom
Magnetization: 17.2 Bohr magnetons per cell

---

The following is a GGA-PBE calculation of a geometry-optimized YCd2Br structure, from Alexandria via LeMat-Bulk.

```
YCd2Br
1.0
1.838 1.061 9.441
-1.838 1.061 9.441
0.000 -2.122 9.441
Y Cd Br
1 2 1
direct
0.000 0.000 0.000
0.245 0.245 0.245
0.755 0.755 0.755
0.500 0.500 0.500
```

Computed properties:
Magnetization: 0.0 Bohr magnetons per cell
Polymorph energy (0 for the lowest one): 21.9 kJ per mole of atoms

---

The following is a GGA-PBE calculation of a geometry-optimized TlSbBr2 structure, from Alexandria via LeMat-Bulk.

```
TlSbBr2
1.0
1.936 1.118 10.268
-1.936 1.118 10.268
0.000 -2.235 10.268
Tl Sb Br
1 1 2
direct
0.000 0.000 0.000
0.500 0.500 0.500
0.410 0.410 0.410
0.590 0.590 0.590
```

Computed properties:
DFT total energy: -2.815 eV/atom
Magnetization: 0.0 Bohr magnetons per cell

---

The following is a GGA-PBE calculation of a geometry-optimized Ta3ZnFe8 structure, from Alexandria via LeMat-Bulk.

```
Ta3ZnFe8
1.0
2.398 1.385 7.817
-2.398 1.385 7.817
0.000 -2.769 7.817
Ta Zn Fe
3 1 8
direct
0.000 0.000 0.000
0.126 0.126 0.126
0.506 0.506 0.506
0.629 0.629 0.629
0.065 0.065 0.564
0.065 0.564 0.065
0.065 0.565 0.565
0.315 0.315 0.315
0.564 0.065 0.065
0.565 0.065 0.565
0.565 0.565 0.065
0.815 0.815 0.815
```

Computed properties:
Formation energy from the elements: -15.7 kJ per mole of atoms
Magnetization: 12.5 Bohr magnetons per cell

---

The following is a GGA-PBE calculation of a geometry-optimized AlFePb2 structure, from Alexandria via LeMat-Bulk.

```
AlFePb2
1.0
-4.946 4.946 2.346
4.946 -4.946 2.346
4.946 4.946 -2.346
Al Fe Pb
2 2 4
direct
0.000 0.000 0.000
0.750 0.250 0.500
0.250 0.750 0.500
0.500 0.500 0.000
0.374 0.125 0.749
0.375 0.626 0.751
0.376 0.625 0.251
0.875 0.624 0.249
```

Computed properties:
Formation energy from the elements: 34.1 kJ per mole of atoms
Magnetization: 2.0 Bohr magnetons per cell

---

The following is a GGA-PBE calculation of a geometry-optimized LiDy6Tl2 structure, from Alexandria via LeMat-Bulk.

```
LiDy6Tl2
1.0
-2.542 3.676 7.702
2.542 -3.676 7.702
2.542 3.676 -7.702
Li Dy Tl
1 6 2
direct
0.000 0.000 0.000
0.082 0.837 0.245
0.244 0.500 0.744
0.409 0.163 0.245
0.591 0.837 0.755
0.756 0.500 0.256
0.918 0.163 0.755
0.333 0.333 0.000
0.667 0.667 0.000
```

Computed properties:
Formation energy from the elements: 14.9 kJ per mole of atoms
Magnetization: 0.0 Bohr magnetons per cell

---

The following is a GGA-PBE calculation of a geometry-optimized PmSm4Pu3S8 structure, from Alexandria via LeMat-Bulk.

```
PmSm4Pu3S8
1.0
3.985 2.301 6.541
-3.985 2.301 6.541
0.000 -4.602 6.541
Pm Sm Pu S
1 4 3 8
direct
0.000 0.000 0.000
0.000 0.000 0.500
0.000 0.500 0.000
0.500 0.000 0.000
0.500 0.500 0.500
0.000 0.500 0.500
0.500 0.000 0.500
0.500 0.500 0.000
0.251 0.251 0.746
0.251 0.746 0.251
0.252 0.252 0.252
0.254 0.749 0.749
0.746 0.251 0.251
0.748 0.748 0.748
0.749 0.254 0.749
0.749 0.749 0.254
```

Computed properties:
DFT total energy: -8.176 eV/atom
Magnetization: 17.0 Bohr magnetons per cell

---

The following is a GGA-PBE calculation of a geometry-optimized TbScAgPt structure, from Alexandria via LeMat-Bulk.

```
TbScAgPt
1.0
0.000 3.467 3.467
3.467 0.000 3.467
3.467 3.467 0.000
Tb Sc Ag Pt
1 1 1 1
direct
0.000 0.000 0.000
0.500 0.500 0.500
0.250 0.250 0.250
0.750 0.750 0.750
```

Computed properties:
Formation energy from the elements: -72.0 kJ per mole of atoms
Magnetization: 0.0 Bohr magnetons per cell
Polymorph energy (0 for the lowest one): 1.3 kJ per mole of atoms

---

The following is a GGA-PBE calculation of a geometry-optimized TaZn2Re structure, from Alexandria via LeMat-Bulk.

```
TaZn2Re
1.0
1.397 0.807 9.261
-1.397 0.807 9.261
0.000 -1.614 9.261
Ta Zn Re
1 2 1
direct
0.000 0.000 0.000
0.246 0.246 0.246
0.754 0.754 0.754
0.500 0.500 0.500
```

Computed properties:
Formation energy from the elements: 20.5 kJ per mole of atoms
Magnetization: 0.0 Bohr magnetons per cell
Polymorph energy (0 for the lowest one): 17.7 kJ per mole of atoms

---

The following is a GGA-PBE calculation of a geometry-optimized CaMgTc structure, from Alexandria via LeMat-Bulk.

```
CaMgTc
1.0
-1.449 2.158 4.972
1.449 -2.158 4.972
1.449 2.158 -4.972
Ca Mg Tc
1 1 1
direct
0.000 0.000 0.000
0.700 0.700 0.000
0.317 0.317 0.000
```

Computed properties:
Formation energy from the elements: 43.4 kJ per mole of atoms
Magnetization: 0.0 Bohr magnetons per cell
Polymorph energy (0 for the lowest one): 0.0 kJ per mole of atoms

---

The following is a GGA-PBE calculation of a geometry-optimized ZrGeHSe2 structure, from Alexandria via LeMat-Bulk.

```
ZrGeHSe2
1.0
4.977 0.000 0.000
0.000 4.977 0.000
0.000 0.000 3.389
Zr Ge H Se
1 1 1 2
direct
0.000 0.000 0.000
0.500 0.500 0.000
0.500 0.500 0.500
0.000 0.500 0.500
0.500 0.000 0.500
```

Computed properties:
DFT total energy: -4.792 eV/atom
Magnetization: 0.0 Bohr magnetons per cell

---

The following is a GGA-PBE calculation of a geometry-optimized KAsOs2 structure, from Alexandria via LeMat-Bulk.

```
KAsOs2
1.0
1.527 -2.518 0.000
1.527 2.518 0.000
0.000 0.000 9.573
K As Os
1 1 2
direct
0.000 0.000 0.000
0.000 0.000 0.500
0.500 0.500 0.304
0.500 0.500 0.696
```

Computed properties:
Formation energy from the elements: 99.7 kJ per mole of atoms
Magnetization: 0.0 Bohr magnetons per cell

---

The following is a GGA-PBE calculation of a geometry-optimized Rb2MgNiI6 structure, from Alexandria via LeMat-Bulk.

```
Rb2MgNiI6
1.0
0.000 5.742 5.742
5.742 0.000 5.742
5.742 5.742 0.000
Rb Mg Ni I
2 1 1 6
direct
0.250 0.250 0.250
0.750 0.750 0.750
0.000 0.000 0.000
0.500 0.500 0.500
0.257 0.257 0.743
0.257 0.743 0.257
0.257 0.743 0.743
0.743 0.257 0.257
0.743 0.257 0.743
0.743 0.743 0.257
```

Computed properties:
DFT total energy: -2.688 eV/atom
Magnetization: 2.0 Bohr magnetons per cell

---

The following is a GGA-PBE calculation of a geometry-optimized Sn4Pd5Au structure, from Alexandria via LeMat-Bulk.

```
Sn4Pd5Au
1.0
-1.804 4.311 6.343
1.804 -4.311 6.343
1.804 4.311 -6.343
Sn Pd Au
4 5 1
direct
0.242 0.242 0.000
0.243 0.000 0.243
0.757 0.000 0.757
0.758 0.758 0.000
0.000 0.500 0.500
0.051 0.336 0.716
0.380 0.664 0.716
0.620 0.336 0.284
0.949 0.664 0.284
0.500 0.500 0.000
```

Computed properties:
Formation energy from the elements: -38.6 kJ per mole of atoms
Magnetization: 0.0 Bohr magnetons per cell

---

The following is a GGA-PBE calculation of a geometry-optimized DyY3Al2 structure, from Alexandria via LeMat-Bulk.

```
DyY3Al2
1.0
5.111 0.000 0.000
0.000 9.492 0.000
0.000 0.000 6.571
Dy Y Al
2 6 4
direct
0.000 0.042 0.000
0.000 0.958 0.500
0.000 0.322 0.658
0.000 0.678 0.158
0.500 0.177 0.286
0.500 0.458 0.945
0.500 0.542 0.445
0.500 0.823 0.786
0.000 0.354 0.180
0.000 0.646 0.680
0.500 0.147 0.765
0.500 0.853 0.265
```

Computed properties:
Formation energy from the elements: -30.0 kJ per mole of atoms
Magnetization: 0.0 Bohr magnetons per cell

---

The following is a GGA-PBE calculation of a geometry-optimized Cs2BaPb9 structure, from Alexandria via LeMat-Bulk.

```
Cs2BaPb9
1.0
3.470 2.003 10.931
-3.470 2.003 10.931
0.000 -4.006 10.931
Cs Ba Pb
2 1 9
direct
0.144 0.144 0.144
0.856 0.856 0.856
0.000 0.000 0.000
0.083 0.581 0.581
0.336 0.336 0.336
0.419 0.419 0.917
0.419 0.917 0.419
0.500 0.500 0.500
0.581 0.083 0.581
0.581 0.581 0.083
0.664 0.664 0.664
0.917 0.419 0.419
```

Computed properties:
Formation energy from the elements: -17.6 kJ per mole of atoms
Magnetization: 0.0 Bohr magnetons per cell

---

The following is a GGA-PBE calculation of a geometry-optimized NaSr2RuF structure, from Alexandria via LeMat-Bulk.

```
NaSr2RuF
1.0
5.183 0.000 0.000
0.000 5.183 0.000
0.000 0.000 4.343
Na Sr Ru F
1 2 1 1
direct
0.000 0.000 0.000
0.000 0.500 0.500
0.500 0.000 0.500
0.500 0.500 0.000
0.000 0.000 0.500
```

Computed properties:
DFT total energy: -3.877 eV/atom
Magnetization: 0.0 Bohr magnetons per cell